First-principles (PBE) data for a relaxed K2TlSn crystal, as listed in the Alexandria database.

Magnetic moment ... 0.00 μB per formula unit
Energy of formation from the pure elements ... -0.091 eV per atom
Total energy ... -8.9 eV for the cell shown
N(E_F) ... 2.62 states/eV/f.u.
Offset from the most stable computed form ... 0.0 meV per atom

```
K2TlSn
1.0
-2.468 5.309 3.414
2.468 -5.309 3.414
2.468 5.309 -3.414
K Tl Sn
2 1 1
direct
0.189 0.000 0.189 K
0.811 0.000 0.811 K
0.513 0.513 0.000 Tl
0.278 0.778 0.500 Sn
```


First-principles (PBE) data for a relaxed LaCdF3 crystal, as listed in the Alexandria database.

Magnetic moment ... 1.25 μB per formula unit
Total energy ... -21.5 eV for the cell shown
Formation energy (no corrections) ... -2.001 eV per atom
N(E_F) ... 6.87 states/eV/f.u.
Offset from the most stable computed form ... 1077.3 meV per atom

```
LaCdF3
1.0
4.561 0.000 0.000
0.000 4.561 0.000
0.000 0.000 4.561
La Cd F
1 1 3
direct
0.000 0.000 0.000 La
0.500 0.500 0.500 Cd
0.000 0.500 0.500 F
0.500 0.000 0.500 F
0.500 0.500 0.000 F
```


> Number 2 is which compound?

LaCdF3